First-principles (PBE) data for Sc2NiOs after structural relaxation, as listed in Alexandria via LeMat-Bulk.

a b c (Å): 6.957 6.957 5.665
angles (deg): 90.00 90.00 90.00
Space group I-42d (No. 122)
Inequivalent atoms, fractional coordinates:
1 Sc 0.232 0.750 0.125 [8 per cell]
2 Ni 0.000 0.000 0.000 [4 per cell]
3 Os 0.000 0.000 0.500 [4 per cell]

Values from the calculation:
Formation energy from the elements, eV per atom: 0.0392
Relative energy among the computed polymorphs, meV/atom: 541
DOS(E_F), states/eV per cell: 6.44